Model w:
LiCaMg2 | Alexandria via LeMat-Bulk | PBE-GGA | optimized geometry; space-group type = Imm2, No. 44
1.0
-3.587 2.544 2.913
-4.562 -2.353 1.214
-0.945 -1.532 4.961
Ca Mg Li
1 2 1
Direct
0.500 0.500 0.500
0.000 0.000 0.000
0.750 0.750 0.750
0.250 0.250 0.250

Model x:
LiCaMg2 | Alexandria via LeMat-Bulk | PBE-GGA | optimized geometry; space-group type = I-42d, No. 122
1.0
4.463 0.000 0.000
0.000 4.463 0.000
2.231 2.231 11.354
Ca Mg Li
2 4 2
Direct
0.000 0.000 0.000
0.750 0.250 0.500
0.602 0.125 0.250
0.148 0.625 0.250
0.375 0.398 0.750
0.875 0.852 0.750
0.500 0.500 0.000
0.250 0.750 0.500

Relative energies, eV/atom: model w 0.000; model x 0.210.

Model w:
LiCaMg2 | Alexandria via LeMat-Bulk | PBE-GGA | optimized geometry; space-group type = P4/mmm, No. 123
1.0
3.641 -0.001 0.000
0.002 3.641 0.000
0.000 0.000 7.793
Ca Mg Li
1 2 1
Direct
0.500 0.500 0.250
0.000 0.000 0.954
0.000 0.000 0.546
0.500 0.500 0.750

Model x:
LiCaMg2 | Alexandria via LeMat-Bulk | PBE-GGA | optimized geometry; space-group type = P4mm, No. 99
1.0
-2.169 0.501 2.817
-0.816 -3.495 -0.006
6.160 -1.447 5.001
Ca Mg Li
1 2 1
Direct
0.000 0.000 0.508
0.000 0.000 0.983
0.500 0.500 0.215
0.500 0.500 0.794

Model y:
LiCaMg2 | Alexandria via LeMat-Bulk | PBE-GGA | optimized geometry; space-group type = C2/m, No. 12
1.0
3.446 0.000 0.026
0.000 5.897 0.000
-0.022 -2.949 5.320
Li Ca Mg
1 1 2
Direct
0.500 0.000 0.000
0.500 0.500 0.000
0.005 0.787 0.575
0.995 0.213 0.425

Relative energies, eV/atom: model w 0.000; model x 0.030; model y 0.201.

Model w:
LiCaMg2 | Alexandria via LeMat-Bulk | PBE-GGA | optimized geometry; space-group type = R3m, No. 160
1.0
-2.801 -0.768 -1.940
0.345 -1.974 -2.861
-2.426 -9.456 4.100
Li Ca Mg
1 1 2
Direct
0.667 0.667 0.999
0.500 0.500 0.501
0.076 0.076 0.771
0.257 0.257 0.229

Model x:
LiCaMg2 | Alexandria via LeMat-Bulk | PBE-GGA | optimized geometry; space-group type = Imm2, No. 44
1.0
-5.602 0.299 2.192
-0.179 -0.456 6.003
2.327 3.349 -4.433
Ca Mg Li
1 2 1
Direct
0.507 0.507 0.000
0.988 0.988 0.000
0.234 0.734 0.500
0.771 0.271 0.500

Model y:
LiCaMg2 | Alexandria via LeMat-Bulk | PBE-GGA | optimized geometry; space-group type = Fm-3m, No. 225
1.0
0.000 3.760 3.760
3.760 0.000 3.760
3.760 3.760 0.000
Ca Mg Li
1 2 1
Direct
0.500 0.500 0.500
0.250 0.250 0.250
0.750 0.750 0.750
0.000 0.000 0.000

Relative energies, eV/atom: model w 0.078; model x 0.000; model y 0.015.

Model w:
Li2Ca2Mg | Alexandria via LeMat-Bulk | PBE-GGA | optimized geometry; space-group type = P4/mbm, No. 127
1.0
-8.786 -0.939 -1.423
1.356 -8.377 -2.845
-0.449 -1.306 3.632
Ca Mg Li
4 2 4
Direct
0.352 0.852 0.000
0.852 0.648 0.000
0.648 0.148 0.000
0.148 0.352 0.000
0.000 0.000 0.000
0.500 0.500 0.000
0.148 0.648 0.500
0.648 0.852 0.500
0.852 0.352 0.500
0.352 0.148 0.500

Model x:
Li2Ca2Mg | Alexandria via LeMat-Bulk | PBE-GGA | optimized geometry; space-group type = C2/m, No. 12
1.0
-1.524 -1.133 -4.557
-5.345 -3.586 0.006
-6.877 7.464 -2.230
Li Ca Mg
4 4 2
Direct
0.985 0.146 0.883
0.130 0.309 0.431
0.015 0.854 0.117
0.870 0.691 0.569
0.310 0.273 0.108
0.495 0.329 0.681
0.690 0.727 0.892
0.505 0.671 0.319
0.777 0.072 0.374
0.223 0.928 0.626

Model y:
Li2Ca2Mg | Alexandria via LeMat-Bulk | PBE-GGA | optimized geometry; space-group type = I4/mmm, No. 139
1.0
-3.640 -1.333 -0.241
1.102 -3.316 1.695
-3.266 1.529 9.565
Ca Mg Li
2 1 2
Direct
0.396 0.396 0.209
0.604 0.604 0.791
0.000 0.000 0.000
0.750 0.250 0.500
0.250 0.750 0.500

Relative energies, eV/atom: model w 0.166; model x 0.000; model y 0.051.

Model w:
Li2Ca2Mg | Alexandria via LeMat-Bulk | PBE-GGA | optimized geometry; space-group type = C2/c, No. 15
1.0
6.217 0.144 1.139
2.860 5.522 1.139
0.300 0.188 8.677
Li Ca Mg
4 4 2
Direct
0.742 0.997 0.494
0.003 0.258 0.006
0.258 0.003 0.506
0.997 0.742 0.994
0.485 0.217 0.148
0.783 0.515 0.352
0.515 0.783 0.852
0.217 0.485 0.648
0.170 0.830 0.250
0.830 0.170 0.750

Model x:
Li2Ca2Mg | Alexandria via LeMat-Bulk | PBE-GGA | optimized geometry; space-group type = P4/mbm, No. 127
1.0
7.740 0.000 0.000
0.000 7.740 0.000
0.000 0.000 4.921
Ca Mg Li
4 2 4
Direct
0.181 0.681 0.500
0.681 0.819 0.500
0.819 0.319 0.500
0.319 0.181 0.500
0.000 0.000 0.000
0.500 0.500 0.000
0.374 0.874 0.000
0.874 0.626 0.000
0.626 0.126 0.000
0.126 0.374 0.000

Relative energies, eV/atom: model w 0.000; model x 0.040.

Model w:
Li6CaMg | Alexandria via LeMat-Bulk | PBE-GGA | optimized geometry; space-group type = Amm2, No. 38
1.0
-4.247 -0.379 -2.713
-1.057 -5.720 2.455
-2.498 4.810 3.238
Li Ca Mg
6 1 1
Direct
0.000 0.056 0.368
0.000 0.632 0.944
0.000 0.598 0.402
0.500 0.419 0.122
0.500 0.878 0.581
0.500 0.924 0.076
0.500 0.383 0.617
0.000 0.109 0.891

Model x:
Li6CaMg | Alexandria via LeMat-Bulk | PBE-GGA | optimized geometry; space-group type = Pm-3, No. 200
1.0
-5.499 0.281 -1.351
1.159 -2.072 -5.148
-0.749 -5.270 1.952
Li Ca Mg
6 1 1
Direct
0.500 0.767 0.000
0.767 0.000 0.500
0.000 0.500 0.233
0.233 0.000 0.500
0.500 0.233 0.000
0.000 0.500 0.767
0.500 0.500 0.500
0.000 0.000 0.000

Relative energies, eV/atom: model w 0.000; model x 0.032.